Record 1
Below is a PBEsol-optimized structure of K2ZnC, with properties calculated at the SCAN level.

abc: 5.2905 5.2905 5.2905
angles: 60.00 60.00 60.00
Element x y z (fractional)
K  0.2500  0.2500  0.2500
K  0.7500  0.7500  0.7500
Zn  0.0000  0.0000  0.0000
C  0.5000  0.5000  0.5000

Results
space-group type = Fm-3m
final energy = -35.375 eV per cell


Record 2
Below is a PBEsol-optimized structure of SrMgIn4, with properties calculated at the SCAN level.

abc: 6.1324 6.1324 6.1324
angles: 60.00 60.00 60.00
Element x y z (fractional)
Sr  0.0000  0.0000  0.0000
Mg  0.7500  0.7500  0.7500
In  0.3754  0.3754  0.3754
In  0.3754  0.3754  0.8737
In  0.3754  0.8737  0.3754
In  0.8737  0.3754  0.3754

Results
space-group type = F-43m
final energy = -162.175 eV per cell


Record 3
Below is a PBEsol-optimized structure of Al5Ni, with properties calculated at the SCAN level.

abc: 2.7955 2.7955 11.2719
angles: 90.00 90.00 90.00
Element x y z (fractional)
Al  0.0000  0.0000  0.0000
Al  0.0000  0.0000  0.3664
Al  0.0000  0.0000  0.6336
Al  0.5000  0.5000  0.1825
Al  0.5000  0.5000  0.8175
Ni  0.5000  0.5000  0.5000

Results
space-group type = P4/mmm
final energy = -56.370 eV per cell


Record 4
Below is a PBEsol-optimized structure of TiB3Ru, with properties calculated at the SCAN level.

abc: 3.8300 3.8300 3.8300
angles: 90.00 90.00 90.00
Element x y z (fractional)
Ti  0.0000  0.0000  0.0000
B  0.0000  0.0000  0.5000
B  0.0000  0.5000  0.0000
B  0.5000  0.0000  0.0000
Ru  0.5000  0.5000  0.5000

Results
space-group type = Pm-3m
final energy = -64.674 eV per cell


Record 5
Below is a PBEsol-optimized structure of MnCu2Pb, with properties calculated at the SCAN level.

abc: 8.3843 8.3843 8.3843
angles: 21.15 21.15 21.15
Element x y z (fractional)
Mn  0.0000  0.0000  0.0000
Cu  0.2605  0.2605  0.2605
Cu  0.7395  0.7395  0.7395
Pb  0.5000  0.5000  0.5000

Results
space-group type = R-3m
final energy = -123.077 eV per cell


Record 6
Below is a PBEsol-optimized structure of Ru2PbSe, with properties calculated at the SCAN level.

abc: 2.9694 2.9694 8.3594
angles: 90.00 90.00 90.00
Element x y z (fractional)
Ru  0.0000  0.0000  0.0000
Ru  0.5000  0.5000  0.2014
Pb  0.5000  0.5000  0.7540
Se  0.0000  0.0000  0.3729

Results
space-group type = P4mm
energy relative to the lowest polymorph listed for this composition = 0.000 eV/atom


Record 7
Below is a PBEsol-optimized structure of AgHI2O, with properties calculated at the SCAN level.

abc: 5.6872 5.6872 3.8591
angles: 90.00 90.00 90.00
Element x y z (fractional)
Ag  0.0000  0.0000  0.0000
H  0.5000  0.5000  0.5000
I  0.0000  0.5000  0.0000
I  0.5000  0.0000  0.0000
O  0.0000  0.0000  0.5000

Results
space-group type = P4/mmm
final energy = -110.832 eV per cell


Record 8
Below is a PBEsol-optimized structure of Sr4NiCl, with properties calculated at the SCAN level.

abc: 7.0223 7.0223 7.0223
angles: 60.00 60.00 60.00
Element x y z (fractional)
Sr  0.3758  0.3758  0.3758
Sr  0.3758  0.3758  0.8727
Sr  0.3758  0.8727  0.3758
Sr  0.8727  0.3758  0.3758
Ni  0.7500  0.7500  0.7500
Cl  0.0000  0.0000  0.0000

Results
space-group type = F-43m
final energy = -109.588 eV per cell


Record 9
Below is a PBEsol-optimized structure of LiAl2, with properties calculated at the SCAN level.

abc: 5.4335 5.4335 6.7427
angles: 104.38 104.38 30.16
Element x y z (fractional)
Li  0.0000  0.0000  0.0000
Li  0.6707  0.6707  0.3453
Al  0.2784  0.2784  0.0578
Al  0.3367  0.3367  0.6743
Al  0.6119  0.6119  0.7237
Al  0.9428  0.9428  0.3896

Results
space-group type = Cm
energy relative to the lowest polymorph listed for this composition = 0.030 eV/atom


Record 10
Below is a PBEsol-optimized structure of InSi2Sb, with properties calculated at the SCAN level.

abc: 7.3688 7.3688 7.3688
angles: 29.47 29.47 29.47
Element x y z (fractional)
In  0.0000  0.0000  0.0000
Si  0.2453  0.2453  0.2453
Si  0.5261  0.5261  0.5261
Sb  0.7721  0.7721  0.7721

Results
space-group type = R3m
energy relative to the lowest polymorph listed for this composition = 0.000 eV/atom


Record 11
Below is a PBEsol-optimized structure of LiP3, with properties calculated at the SCAN level.

abc: 3.1189 3.1189 7.0511
angles: 90.00 90.00 120.00
Element x y z (fractional)
Li  0.0000  0.0000  0.0000
P  0.0000  0.0000  0.5000
P  0.3333  0.6667  0.2770
P  0.3333  0.6667  0.7230

Results
space-group type = P-6m2
energy relative to the lowest polymorph listed for this composition = 0.000 eV/atom


Record 12
Below is a PBEsol-optimized structure of Al2Rh, with properties calculated at the SCAN level.

abc: 4.9246 4.9246 4.9246
angles: 60.00 60.00 60.00
Element x y z (fractional)
Al  0.0000  0.0000  0.0000
Al  0.0000  0.0000  0.5000
Al  0.0000  0.5000  0.0000
Al  0.5000  0.0000  0.0000
Rh  0.3750  0.3750  0.3750
Rh  0.6250  0.6250  0.6250

Results
space-group type = Fd-3m
final energy = -100.340 eV per cell


Record 13
Below is a PBEsol-optimized structure of Ba4P3, with properties calculated at the SCAN level.

abc: 12.4896 13.1638 11.2479
angles: 90.00 90.00 90.00
Element x y z (fractional)
Ba  0.0000  0.0000  0.1813
Ba  0.0000  0.0000  0.8187
Ba  0.0965  0.2634  0.2824
Ba  0.0965  0.2634  0.7176
Ba  0.1066  0.7062  0.0000
Ba  0.1225  0.8716  0.5000
Ba  0.1710  0.5669  0.3183
Ba  0.1710  0.5669  0.6817
Ba  0.2252  0.4172  0.0000
Ba  0.2748  0.9172  0.0000
Ba  0.3290  0.0669  0.3183
Ba  0.3290  0.0669  0.6817
Ba  0.3775  0.3716  0.5000
Ba  0.3934  0.2062  0.0000
Ba  0.4035  0.7634  0.2824
Ba  0.4035  0.7634  0.7176
Ba  0.5000  0.5000  0.1813
Ba  0.5000  0.5000  0.8187
Ba  0.5965  0.2366  0.2824
Ba  0.5965  0.2366  0.7176
Ba  0.6066  0.7938  0.0000
Ba  0.6225  0.6284  0.5000
Ba  0.6710  0.9331  0.3183
Ba  0.6710  0.9331  0.6817
Ba  0.7252  0.0828  0.0000
Ba  0.7748  0.5828  0.0000
Ba  0.8290  0.4331  0.3183
Ba  0.8290  0.4331  0.6817
Ba  0.8775  0.1284  0.5000
Ba  0.8934  0.2938  0.0000
Ba  0.9035  0.7366  0.2824
Ba  0.9035  0.7366  0.7176
P  0.0000  0.5000  0.1014
P  0.0000  0.5000  0.8986
P  0.0337  0.4207  0.5000
P  0.1371  0.1133  0.5000
P  0.1371  0.1400  0.0000
P  0.1640  0.8208  0.2362
P  0.1640  0.8208  0.7638
P  0.3360  0.3208  0.2362
P  0.3360  0.3208  0.7638
P  0.3629  0.6133  0.5000
P  0.3629  0.6400  0.0000
P  0.4663  0.9207  0.5000
P  0.5000  0.0000  0.1014
P  0.5000  0.0000  0.8986
P  0.5337  0.0793  0.5000
P  0.6371  0.3600  0.0000
P  0.6371  0.3867  0.5000
P  0.6640  0.6792  0.2362
P  0.6640  0.6792  0.7638
P  0.8360  0.1792  0.2362
P  0.8360  0.1792  0.7638
P  0.8629  0.8600  0.0000
P  0.8629  0.8867  0.5000
P  0.9663  0.5793  0.5000

Results
space-group type = Pbam
final energy = -1581.815 eV per cell


Record 14
Below is a PBEsol-optimized structure of Ba2SrIr, with properties calculated at the SCAN level.

abc: 5.9591 5.9591 7.8763
angles: 110.80 110.80 40.16
Element x y z (fractional)
Ba  0.0000  0.0000  0.0000
Ba  0.1590  0.1590  0.5983
Sr  0.3414  0.3414  0.3022
Ir  0.6249  0.6249  0.3002

Results
space-group type = Cm
energy relative to the lowest polymorph listed for this composition = 0.034 eV/atom


Record 15
Below is a PBEsol-optimized structure of Sb2AuIF, with properties calculated at the SCAN level.

abc: 5.2750 5.2750 5.5457
angles: 90.00 90.00 90.00
Element x y z (fractional)
Sb  0.0000  0.5000  0.0000
Sb  0.5000  0.0000  0.0000
Au  0.0000  0.0000  0.0000
I  0.0000  0.0000  0.5000
F  0.5000  0.5000  0.5000

Results
space-group type = P4/mmm
final energy = -182.498 eV per cell


Record 16
Below is a PBEsol-optimized structure of BeNb2MoO, with properties calculated at the SCAN level.

abc: 4.7340 4.7340 4.1385
angles: 90.00 90.00 90.00
Element x y z (fractional)
Be  0.0000  0.0000  0.0000
Nb  0.0000  0.5000  0.5000
Nb  0.5000  0.0000  0.5000
Mo  0.0000  0.0000  0.5000
O  0.5000  0.5000  0.0000

Results
space-group type = P4/mmm
final energy = -104.234 eV per cell


Record 17
Below is a PBEsol-optimized structure of ScBe2As, with properties calculated at the SCAN level.

abc: 4.9866 4.9866 4.9866
angles: 44.19 44.19 44.19
Element x y z (fractional)
Sc  0.0000  0.0000  0.0000
Be  0.2106  0.2106  0.2106
Be  0.7894  0.7894  0.7894
As  0.5000  0.5000  0.5000

Results
space-group type = R-3m
final energy = -43.389 eV per cell


Record 18
Below is a PBEsol-optimized structure of Cr3CdW, with properties calculated at the SCAN level.

abc: 4.6240 4.6240 4.6240
angles: 90.00 90.00 90.00
Element x y z (fractional)
Cr  0.0000  0.0000  0.5000
Cr  0.0000  0.5000  0.0000
Cr  0.5000  0.0000  0.0000
Cd  0.5000  0.5000  0.5000
W  0.0000  0.0000  0.0000

Results
space-group type = Pm-3m
final energy = -148.995 eV per cell


Record 19
Below is a PBEsol-optimized structure of TiBe3Ga, with properties calculated at the SCAN level.

abc: 4.0396 4.0396 4.0396
angles: 90.00 90.00 90.00
Element x y z (fractional)
Ti  0.0000  0.0000  0.0000
Be  0.0000  0.5000  0.5000
Be  0.5000  0.0000  0.5000
Be  0.5000  0.5000  0.0000
Ga  0.5000  0.5000  0.5000

Results
space-group type = Pm-3m
final energy = -41.956 eV per cell


Record 20
Below is a PBEsol-optimized structure of MgBrO2, with properties calculated at the SCAN level.

abc: 6.2600 6.2600 6.2600
angles: 29.10 29.10 29.10
Element x y z (fractional)
Mg  0.0000  0.0000  0.0000
Br  0.5000  0.5000  0.5000
O  0.3924  0.3924  0.3924
O  0.6076  0.6076  0.6076

Results
space-group type = R-3m
energy relative to the lowest polymorph listed for this composition = 0.000 eV/atom